# Na2USO8 PBE relaxed
# Total energy in eV per cell: -71.92
# M_tot in μB per formula unit: 2.00
data_Na2USO8
_chemical_formula_sum 'Na2 U1 S1 O8'
_space_group_name_H-M_alt 'P -3 m 1'
_space_group_IT_number 164
_space_group_name_Hall '-P 3 2"'
_cell_length_a 5.1846
_cell_length_b 5.1846
_cell_length_c 5.7257
_cell_angle_alpha 90.00
_cell_angle_beta 90.00
_cell_angle_gamma 120.00
loop_
_atom_site_label
_atom_site_fract_x
_atom_site_fract_y
_atom_site_fract_z
_atom_site_occupancy
Na1 0.3333 0.6667 0.4025 1
U1 0.0000 0.0000 0.0000 1
S1 0.0000 0.0000 0.5000 1
O1 0.1478 0.2955 0.6789 1
O2 0.3333 0.6667 0.0214 1